# PBE-GGA SiAgPdF6, optimized geometry
data_SiAgPdF6
_symmetry_space_group_name_H-M 'C 1 2 1'
_symmetry_Int_Tables_number 5
_cell_length_a 5.698
_cell_length_b 9.902
_cell_length_c 4.766
_cell_angle_alpha 90.00
_cell_angle_beta 90.10
_cell_angle_gamma 90.00
loop_
_symmetry_equiv_pos_as_xyz
'x,y,z'
'-x,y,-z'
'x+1/2,y+1/2,z'
'-x+1/2,y+1/2,-z'
loop_
_atom_site_label
_atom_site_type_symbol
_atom_site_fract_x
_atom_site_fract_y
_atom_site_fract_z
Si1 Si 0.000 0.000 0.000
Ag1 Ag 0.000 0.333 0.500
Pd1 Pd 0.000 0.667 0.000
F1 F 0.121 0.124 0.792
F2 F 0.126 0.878 0.792
F3 F 0.248 0.998 0.208
# Raw formation energy   -1748 kJ/mol of formula units
# Magnetic moment   1.000 μB per formula unit